[1]
Here is an optimized crystal structure of Rb2Be2As from Alexandria. Energies are from PBEsol.

Properties
As for the magnetic moment: 0.0 μB per formula unit. The value obtained for the density of states at the Fermi level is 2.01 states/eV/f.u. The calculation puts the total energy at -1.874 eV per atom.

a b c (Å): 4.512 4.512 7.203
angles (deg): 108.25 108.25 90.00
Fractional coordinates of all 5 atoms:
Rb1 0.250 0.750 0.500
Rb2 0.750 0.250 0.500
Be1 0.423 0.423 0.845
Be2 0.577 0.577 0.155
As1 0.000 0.000 0.000

---

[2]
Here is an optimized crystal structure of TlNiSb2Br from Alexandria. Energies are from PBEsol.

Properties
Its energy relative to the elements, uncorrected is 6.3 eV/f.u. As for the magnetic moment: 0.8 μB per formula unit. The value obtained for the density of states at the Fermi level is 9.41 states/eV/f.u.

a b c (Å): 5.405 5.405 5.649
angles (deg): 90.00 90.00 90.00
Fractional coordinates of all 5 atoms:
Tl1 0.000 0.000 0.500
Sb1 0.500 0.000 0.000
Sb2 0.000 0.500 0.000
Br1 0.000 0.000 0.000
Ni1 0.500 0.500 0.500